Version P
Entry from the Alexandria database: crystalline LiSm4Al at its relaxed geometry (PBE).

Structure (POSCAR):
```
LiSm4Al
1.0
6.464 -1.869 0.000
6.464 1.869 0.000
-2.137 0.000 7.111
Li Sm Al
1 4 1
direct
0.000 0.000 0.000 Li
0.349 0.349 0.669 Sm
0.356 0.356 0.184 Sm
0.644 0.644 0.816 Sm
0.651 0.651 0.331 Sm
0.000 0.000 0.500 Al
```

Results
Fermi-level density of states in states/eV/cell: 7.14



Version Q
Entry from the Alexandria database: crystalline LiSm4Al at its relaxed geometry (PBE).

Structure (POSCAR):
```
LiSm4Al
1.0
4.974 0.000 0.000
0.000 4.974 0.000
0.000 0.000 7.847
Li Sm Al
1 4 1
direct
0.000 0.000 0.000 Li
0.000 0.500 0.265 Sm
0.000 0.500 0.735 Sm
0.500 0.000 0.265 Sm
0.500 0.000 0.735 Sm
0.500 0.500 0.500 Al
```

Results
Fermi-level density of states in states/eV/cell: 7.10



Consider the structures shown above. The least stable of them is version Q.